Computed, not measured: an optimized crystal structure of AlBiO3 at the PBE level of DFT.

## Properties
Magnetic moment in μB per cell: 0.0
Density of states at the Fermi level in states/eV/cell: 0.000
Formation energy from raw total energies in eV/atom: -2.084
Space group: R3c (161)

The structure in POSCAR format:
```
AlBiO3
1.0
5.462 0.001 0.001
2.777 4.704 0.001
2.777 1.586 4.428
Al Bi O
2 2 6
direct
0.721 0.721 0.721
0.221 0.221 0.221
0.995 0.995 0.995
0.495 0.495 0.495
0.919 0.450 0.012
0.512 0.950 0.419
0.450 0.012 0.919
0.419 0.512 0.950
0.950 0.419 0.512
0.012 0.919 0.450
```

---

Computed, not measured: an optimized crystal structure of AlBiO2 at the PBE level of DFT.

## Properties
Magnetic moment in μB per cell: 0.0
Density of states at the Fermi level in states/eV/cell: 0.651
Formation energy from raw total energies in eV/atom: -1.868
Polymorph energy (0 for the lowest one) in kcal/mol of atoms: 0.00
Space group: R-3m (166)

The structure in POSCAR format:
```
AlBiO2
1.0
1.776 0.000 6.691
-0.888 1.538 6.691
-0.888 -1.538 6.691
Bi O Al
1 2 1
direct
0.000 0.000 0.000
0.880 0.880 0.880
0.120 0.120 0.120
0.500 0.500 0.500
```

---

Computed, not measured: an optimized crystal structure of AlBiO3 at the PBE level of DFT.

## Properties
Magnetic moment in μB per cell: 0.0
Density of states at the Fermi level in states/eV/cell: 0.000
Formation energy from raw total energies in eV/atom: -2.060
Space group: P2_1/c (14)

The structure in POSCAR format:
```
AlBiO3
1.0
5.088 0.000 0.000
0.000 7.172 0.125
0.000 4.058 8.026
Al Bi O
4 4 12
direct
0.741 0.906 0.512
0.759 0.906 0.012
0.241 0.094 0.988
0.259 0.094 0.488
0.218 0.715 0.877
0.282 0.715 0.377
0.718 0.285 0.623
0.782 0.285 0.123
0.545 0.972 0.650
0.070 0.835 0.617
0.955 0.972 0.150
0.658 0.655 0.519
0.430 0.835 0.117
0.158 0.345 0.981
0.842 0.655 0.019
0.570 0.165 0.883
0.342 0.345 0.481
0.045 0.028 0.850
0.930 0.165 0.383
0.455 0.028 0.350
```

---

Computed, not measured: an optimized crystal structure of AlBiO2 at the PBE level of DFT.

## Properties
Magnetic moment in μB per cell: 0.0
Density of states at the Fermi level in states/eV/cell: 1.861
Formation energy from raw total energies in eV/atom: -0.424
Polymorph energy (0 for the lowest one) in kcal/mol of atoms: 33.30
Space group: Fm-3m (225)

The structure in POSCAR format:
```
AlBiO2
1.0
2.061 -3.363 -1.708
1.384 -3.185 2.533
-1.914 -3.846 -0.144
Bi O Al
1 2 1
direct
0.500 0.500 0.500
0.250 0.250 0.250
0.750 0.750 0.750
0.000 0.000 0.000
```

---

Computed, not measured: an optimized crystal structure of AlBi12O20 at the PBE level of DFT.

## Properties
Magnetic moment in μB per cell: 0.0
Density of states at the Fermi level in states/eV/cell: 16.944
Formation energy from raw total energies in eV/atom: -1.307
Space group: I23 (197)

The structure in POSCAR format:
```
AlBi12O20
1.0
-5.412 -6.932 -0.875
3.007 0.361 8.303
-4.407 7.431 -1.863
Al Bi O
1 12 20
direct
0.000 0.000 0.000
0.815 0.674 0.509
0.185 0.694 0.860
0.835 0.326 0.140
0.674 0.509 0.815
0.165 0.306 0.491
0.694 0.860 0.185
0.326 0.140 0.835
0.306 0.491 0.165
0.509 0.815 0.674
0.140 0.835 0.326
0.491 0.165 0.306
0.860 0.185 0.694
0.204 0.204 0.204
0.796 0.000 0.000
0.000 0.796 0.000
0.000 0.000 0.796
0.645 0.767 0.385
0.355 0.739 0.122
0.617 0.233 0.878
0.767 0.385 0.645
0.383 0.261 0.615
0.739 0.122 0.355
0.233 0.878 0.617
0.261 0.615 0.383
0.385 0.645 0.767
0.878 0.617 0.233
0.615 0.383 0.261
0.122 0.355 0.739
0.615 0.615 0.615
0.385 0.000 0.000
0.000 0.385 0.000
0.000 0.000 0.385
```

---

Computed, not measured: an optimized crystal structure of Al5Bi3O12 at the PBE level of DFT.

## Properties
Magnetic moment in μB per cell: 0.0
Density of states at the Fermi level in states/eV/cell: 0.000
Formation energy from raw total energies in eV/atom: -2.333
Space group: Ia-3d (230)

The structure in POSCAR format:
```
Al5Bi3O12
1.0
-9.656 1.544 4.380
0.689 -10.041 -3.678
7.579 1.622 7.399
Bi Al O
12 20 48
direct
0.750 0.375 0.125
0.875 0.750 0.125
0.375 0.750 0.625
0.250 0.125 0.375
0.875 0.125 0.250
0.375 0.625 0.250
0.625 0.375 0.750
0.125 0.875 0.750
0.750 0.875 0.625
0.625 0.250 0.375
0.125 0.250 0.875
0.250 0.625 0.875
0.125 0.375 0.250
0.000 0.500 0.000
0.000 0.000 0.000
0.375 0.250 0.125
0.500 0.000 0.500
0.500 0.500 0.000
0.125 0.750 0.375
0.750 0.125 0.875
0.750 0.625 0.375
0.375 0.125 0.750
0.625 0.875 0.250
0.500 0.500 0.500
0.500 0.000 0.000
0.000 0.000 0.500
0.250 0.375 0.625
0.250 0.875 0.125
0.000 0.500 0.500
0.875 0.250 0.625
0.625 0.750 0.875
0.875 0.625 0.750
0.693 0.113 0.012
0.319 0.512 0.400
0.988 0.387 0.307
0.512 0.193 0.113
0.581 0.693 0.681
0.988 0.600 0.181
0.319 0.807 0.419
0.100 0.919 0.113
0.600 0.988 0.681
0.693 0.581 0.181
0.807 0.488 0.387
0.819 0.900 0.012
0.113 0.693 0.512
0.387 0.400 0.081
0.081 0.900 0.387
0.419 0.113 0.600
0.081 0.181 0.193
0.488 0.681 0.100
0.819 0.919 0.307
0.113 0.419 0.100
0.387 0.988 0.807
0.600 0.613 0.419
0.900 0.819 0.512
0.807 0.319 0.919
0.400 0.387 0.581
0.100 0.181 0.488
0.193 0.681 0.081
0.181 0.081 0.693
0.613 0.012 0.193
0.887 0.581 0.900
0.512 0.319 0.900
0.581 0.887 0.400
0.919 0.819 0.807
0.919 0.100 0.613
0.887 0.307 0.488
0.181 0.100 0.988
0.613 0.600 0.919
0.400 0.012 0.319
0.307 0.419 0.819
0.193 0.512 0.613
0.900 0.081 0.887
0.681 0.193 0.581
0.488 0.807 0.887
0.012 0.400 0.819
0.419 0.307 0.319
0.012 0.613 0.693
0.681 0.488 0.600
0.307 0.887 0.988
```

---

Computed, not measured: an optimized crystal structure of Al2Bi3O9 at the PBE level of DFT.

## Properties
Magnetic moment in μB per cell: 1.8
Density of states at the Fermi level in states/eV/cell: 8.058
Formation energy from raw total energies in eV/atom: -1.417
Polymorph energy (0 for the lowest one) in kcal/mol of atoms: 4.03
Space group: P4/mmm (123)

The structure in POSCAR format:
```
Al2Bi3O9
1.0
-0.888 -2.309 2.643
-2.153 -1.794 -2.291
9.761 -7.518 -3.285
Al Bi O
2 3 9
direct
0.500 0.500 0.667
0.500 0.500 0.333
0.000 0.000 0.870
0.000 0.000 0.500
0.000 0.000 0.130
0.500 0.000 0.650
0.500 0.000 0.350
0.500 0.000 0.000
0.000 0.500 0.650
0.000 0.500 0.350
0.000 0.500 0.000
0.500 0.500 0.815
0.500 0.500 0.500
0.500 0.500 0.185
```

---

Computed, not measured: an optimized crystal structure of AlBiO3 at the PBE level of DFT.

## Properties
Magnetic moment in μB per cell: 0.0
Density of states at the Fermi level in states/eV/cell: 0.000
Formation energy from raw total energies in eV/atom: -2.010
Space group: Pm-3m (221)

The structure in POSCAR format:
```
AlBiO3
1.0
-2.101 3.023 0.730
0.449 -0.577 3.681
3.077 2.148 -0.038
Bi O Al
1 3 1
direct
0.500 0.500 0.500
0.000 0.500 0.000
0.000 0.000 0.500
0.500 0.000 0.000
0.000 0.000 0.000
```

---

Computed, not measured: an optimized crystal structure of Al2Bi3O9 at the PBE level of DFT.

## Properties
Magnetic moment in μB per cell: 1.5
Density of states at the Fermi level in states/eV/cell: 7.400
Formation energy from raw total energies in eV/atom: -1.592
Polymorph energy (0 for the lowest one) in kcal/mol of atoms: 0.00
Space group: Cc (9)

The structure in POSCAR format:
```
Al2Bi3O9
1.0
-3.593 -4.421 -1.005
-1.599 -1.997 -5.189
10.328 -9.341 -0.489
Al Bi O
4 6 18
direct
0.014 0.055 0.758
0.380 0.382 0.107
0.382 0.380 0.607
0.055 0.014 0.258
0.646 0.668 0.651
0.335 0.293 0.345
0.977 0.972 0.986
0.293 0.335 0.845
0.972 0.977 0.486
0.668 0.646 0.151
0.272 0.675 0.712
0.981 0.248 0.367
0.596 0.003 0.066
0.869 0.446 0.776
0.517 0.147 0.500
0.204 0.785 0.144
0.785 0.014 0.847
0.437 0.646 0.532
0.110 0.364 0.186
0.248 0.981 0.867
0.003 0.596 0.566
0.675 0.272 0.212
0.364 0.110 0.686
0.014 0.785 0.347
0.646 0.437 0.032
0.785 0.204 0.644
0.446 0.869 0.276
0.147 0.517 0.000
```

---

Computed, not measured: an optimized crystal structure of AlBiO3 at the PBE level of DFT.

## Properties
Magnetic moment in μB per cell: 0.0
Formation energy from raw total energies in eV/atom: -1.903
Space group: Pnma (62)

The structure in POSCAR format:
```
AlBiO3
1.0
5.359 0.000 0.000
0.000 5.432 0.000
0.000 0.000 9.443
Al Bi O
4 4 12
direct
0.957 0.035 0.250
0.457 0.465 0.750
0.543 0.535 0.250
0.043 0.965 0.750
0.000 0.500 0.000
0.500 0.000 0.000
0.500 0.000 0.500
0.000 0.500 0.500
0.625 0.366 0.899
0.125 0.134 0.101
0.875 0.866 0.601
0.375 0.634 0.399
0.375 0.634 0.101
0.875 0.866 0.899
0.125 0.134 0.399
0.625 0.366 0.601
0.166 0.281 0.750
0.666 0.219 0.250
0.334 0.781 0.750
0.834 0.719 0.250
```

---

Computed, not measured: an optimized crystal structure of AlBi2O at the PBE level of DFT.

## Properties
Magnetic moment in μB per cell: 0.0
Density of states at the Fermi level in states/eV/cell: 5.705
Formation energy from raw total energies in eV/atom: -0.103
Polymorph energy (0 for the lowest one) in kcal/mol of atoms: 0.00
Space group: I-42d (122)

The structure in POSCAR format:
```
AlBi2O
1.0
-4.210 0.482 3.752
-1.956 -5.083 -1.541
0.789 -5.222 5.825
Bi O Al
4 2 2
direct
0.545 0.125 0.250
0.205 0.625 0.250
0.375 0.455 0.750
0.875 0.795 0.750
0.500 0.500 0.000
0.250 0.750 0.500
0.000 0.000 0.000
0.750 0.250 0.500
```

---

Computed, not measured: an optimized crystal structure of AlBi3O at the PBE level of DFT.

## Properties
Magnetic moment in μB per cell: 0.0
Density of states at the Fermi level in states/eV/cell: 3.769
Formation energy from raw total energies in eV/atom: 0.026
Polymorph energy (0 for the lowest one) in kcal/mol of atoms: 0.00
Space group: Pm-3m (221)

The structure in POSCAR format:
```
AlBi3O
1.0
-0.933 1.538 -4.632
-3.454 -3.540 -0.480
-3.449 3.130 1.733
Bi O Al
3 1 1
direct
0.000 0.500 0.000
0.000 0.000 0.500
0.500 0.000 0.000
0.000 0.000 0.000
0.500 0.500 0.500
```

---

Computed, not measured: an optimized crystal structure of Al4Bi2O9 at the PBE level of DFT.

## Properties
Magnetic moment in μB per cell: 0.0
Density of states at the Fermi level in states/eV/cell: 0.000
Formation energy from raw total energies in eV/atom: -2.440
Space group: Pbam (55)

The structure in POSCAR format:
```
Al4Bi2O9
1.0
-0.043 4.412 3.710
1.830 -4.855 5.794
8.013 1.294 -1.446
Al Bi O
8 4 18
direct
0.500 0.148 0.840
0.500 0.852 0.160
0.500 0.648 0.660
0.500 0.352 0.340
0.261 0.000 0.500
0.739 0.500 0.000
0.739 0.000 0.500
0.261 0.500 0.000
0.000 0.330 0.670
0.000 0.670 0.330
0.000 0.830 0.830
0.000 0.170 0.170
0.000 0.356 0.936
0.000 0.644 0.064
0.000 0.856 0.564
0.000 0.144 0.436
0.500 0.361 0.915
0.500 0.639 0.085
0.500 0.861 0.585
0.500 0.139 0.415
0.252 0.877 0.292
0.252 0.123 0.708
0.748 0.377 0.208
0.748 0.623 0.792
0.500 0.000 0.000
0.500 0.500 0.500
0.252 0.377 0.208
0.252 0.623 0.792
0.748 0.877 0.292
0.748 0.123 0.708
```

---

Computed, not measured: an optimized crystal structure of AlBiO3 at the PBE level of DFT.

## Properties
Magnetic moment in μB per cell: 0.0
Density of states at the Fermi level in states/eV/cell: 2.854
Formation energy from raw total energies in eV/atom: -0.464
Space group: Pm-3m (221)

The structure in POSCAR format:
```
AlBiO3
1.0
4.226 0.000 0.000
0.000 4.226 0.000
0.000 0.000 4.226
Bi O Al
1 3 1
direct
0.000 0.000 0.000
0.000 0.500 0.000
0.000 0.000 0.500
0.500 0.000 0.000
0.500 0.500 0.500
```

---

Computed, not measured: an optimized crystal structure of AlBiO3 at the PBE level of DFT.

## Properties
Magnetic moment in μB per cell: 0.0
Formation energy from raw total energies in eV/atom: -1.620
Space group: P6_3cm (185)

The structure in POSCAR format:
```
AlBiO3
1.0
-4.637 4.199 0.987
3.947 -1.524 4.712
7.237 8.750 -3.232
Al Bi O
6 6 18
direct
0.667 0.333 0.248
0.333 0.667 0.748
0.667 0.333 0.748
0.333 0.667 0.248
0.000 0.000 0.742
0.000 0.000 0.242
0.673 0.000 0.501
0.673 0.673 0.001
0.000 0.327 0.001
0.000 0.673 0.501
0.327 0.327 0.501
0.327 0.000 0.001
0.667 0.333 0.079
0.333 0.667 0.579
0.667 0.333 0.579
0.333 0.667 0.079
0.000 0.000 0.899
0.000 0.000 0.399
0.460 0.000 0.812
0.460 0.460 0.312
0.000 0.540 0.312
0.000 0.460 0.812
0.540 0.540 0.812
0.540 0.000 0.312
0.251 0.000 0.179
0.251 0.251 0.679
0.000 0.749 0.679
0.000 0.251 0.179
0.749 0.749 0.179
0.749 0.000 0.679
```

---

Computed, not measured: an optimized crystal structure of AlBi2O at the PBE level of DFT.

## Properties
Magnetic moment in μB per cell: 0.0
Density of states at the Fermi level in states/eV/cell: 1.945
Formation energy from raw total energies in eV/atom: 0.133
Polymorph energy (0 for the lowest one) in kcal/mol of atoms: 5.42
Space group: Fm-3m (225)

The structure in POSCAR format:
```
AlBi2O
1.0
2.215 0.461 4.332
-1.931 2.888 3.437
-2.013 -1.966 3.996
Bi O Al
2 1 1
direct
0.250 0.250 0.250
0.750 0.750 0.750
0.000 0.000 0.000
0.500 0.500 0.500
```